DFT (PBE) results for a geometry-optimized PmCuPtRh structure.

a = 6.595 Å, b = 6.595 Å, c = 6.595 Å
α = 90.00°, β = 90.00°, γ = 90.00°
Space group F-43m (No. 216)
Symmetry-distinct sites (fractional):
1 Pm 0.000 0.000 0.000 x4
2 Cu 0.000 0.000 0.500 x4
3 Pt 0.250 0.250 0.250 x4
4 Rh 0.250 0.250 0.750 x4

Properties
DFT formation energy ... -9.69 kcal/mol of atoms
Crystal system ... cubic
Density ... 11.73 g cm⁻³
Density of states at the Fermi level ... 9.08 states/eV per cell
Electronic total energy ... -5.98 eV/atom